## Sr2Li2Co (GGA-PBE)

Data for a relaxed structure of Sr2Li2Co.

formation energy = 43 kJ/mol of atoms
E_tot = -2.4100 eV per atom
total magnetic moment = 0.0 μB per formula unit
crystal system = tetragonal
calculated volume = 268.3 Å³/cell

a b c (Å): 7.301 7.301 5.032
angles (deg): 90.00 90.00 90.00
Element x y z (fractional)
Sr: 0.191 0.309 0.000
Sr: 0.309 0.809 0.000
Sr: 0.691 0.191 0.000
Sr: 0.809 0.691 0.000
Li: 0.138 0.638 0.500
Li: 0.362 0.138 0.500
Li: 0.638 0.862 0.500
Li: 0.862 0.362 0.500
Co: 0.000 0.000 0.500
Co: 0.500 0.500 0.500



## Sr2LiCo (GGA-PBE)

Data for a relaxed structure of Sr2LiCo.

formation energy = 37 kJ/mol of atoms
E_tot = -2.7088 eV per atom
total magnetic moment = 0.7 μB per formula unit
distance to the lowest polymorph of the same formula = 95.8 meV per atom
crystal system = orthorhombic
calculated volume = 120.0 Å³/cell

a b c (Å): 6.874 6.874 6.874
angles (deg): 148.71 134.24 56.48
Element x y z (fractional)
Sr: 0.000 0.000 0.000
Sr: 0.700 0.200 0.500
Li: 0.368 0.368 0.000
Co: 0.211 0.711 0.500



## Sr2LiCo (GGA-PBE)

Data for a relaxed structure of Sr2LiCo.

formation energy = 54 kJ/mol of atoms
E_tot = -2.5344 eV per atom
total magnetic moment = 0.3 μB per formula unit
distance to the lowest polymorph of the same formula = 270.1 meV per atom
crystal system = tetragonal
calculated volume = 249.3 Å³/cell

a b c (Å): 6.912 6.912 6.912
angles (deg): 105.12 105.12 118.58
Element x y z (fractional)
Sr: 0.077 0.625 0.952
Sr: 0.375 0.327 0.452
Sr: 0.673 0.125 0.048
Sr: 0.875 0.923 0.548
Li: 0.250 0.750 0.500
Li: 0.500 0.500 0.000
Co: 0.000 0.000 0.000
Co: 0.750 0.250 0.500



## SrLiCo (GGA-PBE)

Data for a relaxed structure of SrLiCo.

formation energy = 47 kJ/mol of atoms
E_tot = -3.0751 eV per atom
total magnetic moment = 0.9 μB per formula unit
distance to the lowest polymorph of the same formula = 10.1 meV per atom
crystal system = orthorhombic
calculated volume = 66.4 Å³/cell

a b c (Å): 5.841 5.841 5.841
angles (deg): 144.89 144.39 50.87
Element x y z (fractional)
Sr: 0.000 0.000 0.000
Li: 0.725 0.725 0.000
Co: 0.310 0.310 0.000



## Sr4LiCo (GGA-PBE)

Data for a relaxed structure of Sr4LiCo.

formation energy = 86 kJ/mol of atoms
E_tot = -1.7316 eV per atom
total magnetic moment = 1.9 μB per formula unit
crystal system = cubic
calculated volume = 289.4 Å³/cell

a b c (Å): 7.424 7.424 7.424
angles (deg): 60.00 60.00 60.00
Element x y z (fractional)
Sr: 0.125 0.125 0.125
Sr: 0.125 0.125 0.626
Sr: 0.125 0.626 0.125
Sr: 0.626 0.125 0.125
Li: 0.500 0.500 0.500
Co: 0.750 0.750 0.750



## Sr2LiCo (GGA-PBE)

Data for a relaxed structure of Sr2LiCo.

formation energy = 35 kJ/mol of atoms
E_tot = -2.7285 eV per atom
total magnetic moment = 0.2 μB per formula unit
distance to the lowest polymorph of the same formula = 76.1 meV per atom
crystal system = cubic
calculated volume = 112.1 Å³/cell

a b c (Å): 5.412 5.412 5.412
angles (deg): 60.00 60.00 60.00
Element x y z (fractional)
Sr: 0.250 0.250 0.250
Sr: 0.750 0.750 0.750
Li: 0.000 0.000 0.000
Co: 0.500 0.500 0.500



## SrLiY2Co (GGA-PBE)

Data for a relaxed structure of SrLiY2Co.

formation energy = 9 kJ/mol of atoms
E_tot = -4.6288 eV per atom
total magnetic moment = 0.0 μB per formula unit
crystal system = tetragonal
calculated volume = 147.3 Å³/cell

a b c (Å): 5.153 5.153 5.548
angles (deg): 90.00 90.00 90.00
Element x y z (fractional)
Sr: 0.000 0.000 0.000
Li: 0.500 0.500 0.000
Y: 0.000 0.500 0.500
Y: 0.500 0.000 0.500
Co: 0.500 0.500 0.500



## SrLiZn2Co (GGA-PBE)

Data for a relaxed structure of SrLiZn2Co.

formation energy = 1 kJ/mol of atoms
E_tot = -2.6382 eV per atom
total magnetic moment = 0.0 μB per formula unit
crystal system = tetragonal
calculated volume = 103.3 Å³/cell

a b c (Å): 4.704 4.704 4.669
angles (deg): 90.00 90.00 90.00
Element x y z (fractional)
Sr: 0.000 0.000 0.000
Li: 0.500 0.500 0.000
Zn: 0.000 0.500 0.500
Zn: 0.500 0.000 0.500
Co: 0.500 0.500 0.500



## LiTa2Co (GGA-PBE)

Data for a relaxed structure of LiTa2Co.

formation energy = 29 kJ/mol of atoms
E_tot = -7.8857 eV per atom
total magnetic moment = 0.0 μB per formula unit
distance to the lowest polymorph of the same formula = 125.9 meV per atom
crystal system = trigonal
calculated volume = 64.6 Å³/cell

a b c (Å): 9.571 9.571 9.571
angles (deg): 16.90 16.90 16.90
Element x y z (fractional)
Li: 0.000 0.000 0.000
Ta: 0.241 0.241 0.241
Ta: 0.759 0.759 0.759
Co: 0.500 0.500 0.500



## LiTa2Co (GGA-PBE)

Data for a relaxed structure of LiTa2Co.

formation energy = 50 kJ/mol of atoms
E_tot = -7.6604 eV per atom
total magnetic moment = 0.0 μB per formula unit
distance to the lowest polymorph of the same formula = 351.2 meV per atom
crystal system = tetragonal
calculated volume = 130.4 Å³/cell

a b c (Å): 5.617 5.617 5.617
angles (deg): 103.06 103.06 123.23
Element x y z (fractional)
Li: 0.000 0.000 0.000
Li: 0.750 0.250 0.500
Ta: 0.166 0.625 0.041
Ta: 0.375 0.416 0.541
Ta: 0.584 0.125 0.959
Ta: 0.875 0.834 0.459
Co: 0.250 0.750 0.500
Co: 0.500 0.500 0.000



## LiTa2Co (GGA-PBE)

Data for a relaxed structure of LiTa2Co.

formation energy = 25 kJ/mol of atoms
E_tot = -7.9216 eV per atom
total magnetic moment = 0.0 μB per formula unit
distance to the lowest polymorph of the same formula = 90.0 meV per atom
crystal system = cubic
calculated volume = 58.1 Å³/cell

a b c (Å): 4.348 4.348 4.348
angles (deg): 60.00 60.00 60.00
Element x y z (fractional)
Li: 0.000 0.000 0.000
Ta: 0.250 0.250 0.250
Ta: 0.750 0.750 0.750
Co: 0.500 0.500 0.500



## LiTaCo4 (GGA-PBE)

Data for a relaxed structure of LiTaCo4.

formation energy = -7 kJ/mol of atoms
E_tot = -7.0993 eV per atom
total magnetic moment = 0.5 μB per formula unit
crystal system = cubic
calculated volume = 71.8 Å³/cell

a b c (Å): 4.666 4.666 4.666
angles (deg): 60.00 60.00 60.00
Element x y z (fractional)
Li: 0.000 0.000 0.000
Ta: 0.250 0.250 0.250
Co: 0.123 0.626 0.626
Co: 0.626 0.123 0.626
Co: 0.626 0.626 0.123
Co: 0.626 0.626 0.626



## LiTa2Co (GGA-PBE)

Data for a relaxed structure of LiTa2Co.

formation energy = 22 kJ/mol of atoms
E_tot = -7.9575 eV per atom
total magnetic moment = 0.0 μB per formula unit
distance to the lowest polymorph of the same formula = 54.1 meV per atom
crystal system = monoclinic
calculated volume = 59.5 Å³/cell

a b c (Å): 2.777 3.840 5.630
angles (deg): 90.00 97.64 90.00
Element x y z (fractional)
Li: 0.000 0.000 0.000
Ta: 0.471 0.500 0.735
Ta: 0.529 0.500 0.265
Co: 0.000 0.000 0.500



## LiTa2Co (GGA-PBE)

Data for a relaxed structure of LiTa2Co.

formation energy = 43 kJ/mol of atoms
E_tot = -7.7357 eV per atom
total magnetic moment = 2.0 μB per formula unit
distance to the lowest polymorph of the same formula = 275.9 meV per atom
crystal system = cubic
calculated volume = 60.8 Å³/cell

a b c (Å): 4.414 4.414 4.414
angles (deg): 60.00 60.00 60.00
Element x y z (fractional)
Li: 0.000 0.000 0.000
Ta: 0.500 0.500 0.500
Ta: 0.750 0.750 0.750
Co: 0.250 0.250 0.250



## LiTa2Co (GGA-PBE)

Data for a relaxed structure of LiTa2Co.

formation energy = 21 kJ/mol of atoms
E_tot = -7.9673 eV per atom
total magnetic moment = 0.0 μB per formula unit
distance to the lowest polymorph of the same formula = 44.3 meV per atom
crystal system = tetragonal
calculated volume = 57.9 Å³/cell

a b c (Å): 4.082 4.082 3.476
angles (deg): 90.00 90.00 90.00
Element x y z (fractional)
Li: 0.000 0.000 0.000
Ta: 0.000 0.500 0.500
Ta: 0.500 0.000 0.500
Co: 0.500 0.500 0.000



## LiTa2Co (GGA-PBE)

Data for a relaxed structure of LiTa2Co.

formation energy = 22 kJ/mol of atoms
E_tot = -7.9484 eV per atom
total magnetic moment = 0.0 μB per formula unit
distance to the lowest polymorph of the same formula = 63.2 meV per atom
crystal system = orthorhombic
calculated volume = 59.1 Å³/cell

a b c (Å): 2.770 3.764 5.669
angles (deg): 90.00 90.00 90.00
Element x y z (fractional)
Li: 0.000 0.000 0.000
Ta: 0.500 0.500 0.263
Ta: 0.500 0.500 0.737
Co: 0.000 0.000 0.500



## LiTa2Co (GGA-PBE)

Data for a relaxed structure of LiTa2Co.

formation energy = 21 kJ/mol of atoms
E_tot = -7.9612 eV per atom
total magnetic moment = 0.0 μB per formula unit
distance to the lowest polymorph of the same formula = 50.4 meV per atom
crystal system = monoclinic
calculated volume = 58.2 Å³/cell

a b c (Å): 2.774 4.384 4.812
angles (deg): 90.00 95.65 90.00
Element x y z (fractional)
Li: 0.000 0.000 0.000
Ta: 0.405 0.000 0.526
Ta: 0.582 0.500 0.152
Co: 0.009 0.500 0.673



## LiTa2Co (GGA-PBE)

Data for a relaxed structure of LiTa2Co.

formation energy = 28 kJ/mol of atoms
E_tot = -7.8863 eV per atom
total magnetic moment = 0.0 μB per formula unit
distance to the lowest polymorph of the same formula = 125.4 meV per atom
crystal system = tetragonal
calculated volume = 58.7 Å³/cell

a b c (Å): 5.034 5.034 5.034
angles (deg): 136.94 136.94 62.54
Element x y z (fractional)
Li: 0.000 0.000 0.000
Ta: 0.250 0.750 0.500
Ta: 0.500 0.500 0.000
Co: 0.750 0.250 0.500



## LiTa2Co (GGA-PBE)

Data for a relaxed structure of LiTa2Co.

formation energy = 20 kJ/mol of atoms
E_tot = -7.9695 eV per atom
total magnetic moment = 0.0 μB per formula unit
distance to the lowest polymorph of the same formula = 42.1 meV per atom
crystal system = orthorhombic
calculated volume = 64.9 Å³/cell

a b c (Å): 2.741 2.741 8.695
angles (deg): 90.00 90.00 96.22
Element x y z (fractional)
Li: 0.000 0.000 0.000
Ta: 0.500 0.500 0.291
Ta: 0.500 0.500 0.709
Co: 0.000 0.000 0.500



## LiTa2Co (GGA-PBE)

Data for a relaxed structure of LiTa2Co.

formation energy = 20 kJ/mol of atoms
E_tot = -7.9692 eV per atom
total magnetic moment = 1.3 μB per formula unit
distance to the lowest polymorph of the same formula = 42.4 meV per atom
crystal system = orthorhombic
calculated volume = 64.3 Å³/cell

a b c (Å): 2.755 2.755 8.935
angles (deg): 90.00 90.00 108.38
Element x y z (fractional)
Li: 0.000 0.000 0.000
Ta: 0.000 0.000 0.441
Ta: 0.500 0.500 0.713
Co: 0.500 0.500 0.224



## LiTa2Co (GGA-PBE)

Data for a relaxed structure of LiTa2Co.

formation energy = 25 kJ/mol of atoms
E_tot = -7.9267 eV per atom
total magnetic moment = 0.0 μB per formula unit
distance to the lowest polymorph of the same formula = 84.9 meV per atom
crystal system = orthorhombic
calculated volume = 58.4 Å³/cell

a b c (Å): 4.656 4.656 2.791
angles (deg): 90.00 90.00 105.12
Element x y z (fractional)
Li: 0.000 0.000 0.000
Ta: 0.000 0.500 0.500
Ta: 0.500 0.000 0.500
Co: 0.500 0.500 0.000



## LiTa2Co (GGA-PBE)

Data for a relaxed structure of LiTa2Co.

formation energy = 22 kJ/mol of atoms
E_tot = -7.9496 eV per atom
total magnetic moment = 0.0 μB per formula unit
distance to the lowest polymorph of the same formula = 62.0 meV per atom
crystal system = orthorhombic
calculated volume = 60.6 Å³/cell

a b c (Å): 5.025 5.025 5.025
angles (deg): 142.15 127.85 66.22
Element x y z (fractional)
Li: 0.000 0.000 0.000
Ta: 0.270 0.770 0.500
Ta: 0.730 0.230 0.500
Co: 0.500 0.500 0.000



## LiTa2Co (GGA-PBE)

Data for a relaxed structure of LiTa2Co.

formation energy = 16 kJ/mol of atoms
E_tot = -8.0116 eV per atom
total magnetic moment = 0.0 μB per formula unit
distance to the lowest polymorph of the same formula = 0.0 meV per atom
crystal system = tetragonal
calculated volume = 60.9 Å³/cell

a b c (Å): 3.059 3.059 6.509
angles (deg): 90.00 90.00 90.00
Element x y z (fractional)
Li: 0.000 0.000 0.000
Ta: 0.000 0.000 0.582
Ta: 0.500 0.500 0.283
Co: 0.500 0.500 0.784



## LiTa2Co (GGA-PBE)

Data for a relaxed structure of LiTa2Co.

formation energy = 37 kJ/mol of atoms
E_tot = -7.8016 eV per atom
total magnetic moment = 0.0 μB per formula unit
distance to the lowest polymorph of the same formula = 210.0 meV per atom
crystal system = monoclinic
calculated volume = 61.1 Å³/cell

a b c (Å): 4.886 2.693 5.187
angles (deg): 90.00 116.46 90.00
Element x y z (fractional)
Li: 0.000 0.000 0.000
Ta: 0.000 0.000 0.500
Ta: 0.500 0.500 0.000
Co: 0.500 0.500 0.500



## LiTa2Co (GGA-PBE)

Data for a relaxed structure of LiTa2Co.

formation energy = 20 kJ/mol of atoms
E_tot = -7.9743 eV per atom
total magnetic moment = 0.0 μB per formula unit
distance to the lowest polymorph of the same formula = 37.3 meV per atom
crystal system = orthorhombic
calculated volume = 59.7 Å³/cell

a b c (Å): 5.245 5.245 5.245
angles (deg): 147.14 129.67 61.42
Element x y z (fractional)
Li: 0.000 0.000 0.000
Ta: 0.283 0.783 0.500
Ta: 0.551 0.551 0.000
Co: 0.779 0.279 0.500



## LiTb5Co2 (GGA-PBE)

Data for a relaxed structure of LiTb5Co2.

formation energy = -8 kJ/mol of atoms
E_tot = -4.9948 eV per atom
total magnetic moment = 0.0 μB per formula unit
crystal system = tetragonal
calculated volume = 392.2 Å³/cell

a b c (Å): 8.592 8.592 8.592
angles (deg): 126.96 126.96 78.31
Element x y z (fractional)
Li: 0.250 0.250 0.000
Li: 0.750 0.750 0.000
Tb: 0.000 0.000 0.000
Tb: 0.027 0.527 0.814
Tb: 0.212 0.027 0.500
Tb: 0.288 0.788 0.814
Tb: 0.473 0.288 0.500
Tb: 0.500 0.500 0.000
Tb: 0.527 0.712 0.500
Tb: 0.712 0.212 0.186
Tb: 0.788 0.973 0.500
Tb: 0.973 0.473 0.186
Co: 0.140 0.360 0.500
Co: 0.360 0.860 0.220
Co: 0.640 0.140 0.780
Co: 0.860 0.640 0.500



## LiTb3Co (GGA-PBE)

Data for a relaxed structure of LiTb3Co.

formation energy = 1 kJ/mol of atoms
E_tot = -4.5694 eV per atom
total magnetic moment = 0.0 μB per formula unit
crystal system = cubic
calculated volume = 144.6 Å³/cell

a b c (Å): 5.249 5.249 5.249
angles (deg): 90.00 90.00 90.00
Element x y z (fractional)
Li: 0.000 0.000 0.000
Tb: 0.000 0.500 0.500
Tb: 0.500 0.000 0.500
Tb: 0.500 0.500 0.000
Co: 0.500 0.500 0.500



## LiTbCo (GGA-PBE)

Data for a relaxed structure of LiTbCo.

formation energy = -8 kJ/mol of atoms
E_tot = -4.6304 eV per atom
total magnetic moment = 0.5 μB per formula unit
distance to the lowest polymorph of the same formula = 0.0 meV per atom
crystal system = monoclinic
calculated volume = 126.1 Å³/cell

a b c (Å): 3.819 3.859 8.758
angles (deg): 90.00 102.42 90.00
Element x y z (fractional)
Li: 0.203 0.250 0.409
Li: 0.797 0.750 0.591
Tb: 0.410 0.250 0.819
Tb: 0.590 0.750 0.181
Co: 0.033 0.250 0.067
Co: 0.967 0.750 0.933